Entry 1:
MgZrCoGe: relaxed, PBE.

Geometry as CIF:
```
data_MgZrCoGe
_chemical_formula_sum 'Mg4 Zr4 Co4 Ge4'
_cell_length_a 6.369
_cell_length_b 6.369
_cell_length_c 6.369
_cell_angle_alpha 90.00
_cell_angle_beta 90.00
_cell_angle_gamma 90.00
_symmetry_space_group_name_H-M 'F -4 3 m'
_symmetry_Int_Tables_number 216
_symmetry_space_group_name_Hall 'F -4 2 3'
loop_
_atom_site_label
_atom_site_fract_x
_atom_site_fract_y
_atom_site_fract_z
_atom_site_occupancy
Mg1 0.000 0.000 0.000 1
Zr1 0.250 0.250 0.250 1
Co1 0.250 0.250 0.750 1
Ge1 0.000 0.000 0.500 1
```

Properties
The calculation puts the energy above the most stable polymorph in this dataset at 92.6 meV/atom. The calculation puts the total DFT energy (no corrections) at -0.200 Ha/atom.

Entry 2:
Lu4Hf2Al3N3: relaxed, PBE.

Geometry as CIF:
```
data_Lu4Hf2Al3N3
_chemical_formula_sum 'Lu16 Hf8 Al12 N12'
_cell_length_a 9.981
_cell_length_b 5.763
_cell_length_c 14.873
_cell_angle_alpha 90.00
_cell_angle_beta 102.93
_cell_angle_gamma 90.00
_symmetry_space_group_name_H-M 'C 1 2/c 1'
_symmetry_Int_Tables_number 15
loop_
_symmetry_equiv_pos_as_xyz
'x,y,z'
'-x,-y,-z'
'-x,y,-z+1/2'
'x,-y,z+1/2'
'x+1/2,y+1/2,z'
'-x+1/2,-y+1/2,-z'
'-x+1/2,y+1/2,-z+1/2'
'x+1/2,-y+1/2,z+1/2'
loop_
_atom_site_label
_atom_site_fract_x
_atom_site_fract_y
_atom_site_fract_z
_atom_site_occupancy
Lu1 0.114 0.079 0.093 1
Lu2 0.217 0.086 0.407 1
Hf1 0.059 0.414 0.920 1
Al1 0.000 0.133 0.750 1
Al2 0.142 0.442 0.249 1
N1 0.081 0.257 0.500 1
N2 0.250 0.250 0.000 1
```

Properties
The calculation puts the total DFT energy (no corrections) at -0.266 Ha/atom.